Compound: Li3AgF
Source: Alexandria via LeMat-Bulk
Functional: PBE
Structure: relaxed

## Properties
V: 118 Å³/cell
space group: Pm-3m
E_tot: -2.437 eV/atom
energy relative to the elements, uncorrected: -0.34 eV per atom

Cell: 4.899 4.899 4.899 Å, 90.00 90.00 90.00°
Fractional coordinates of all 5 atoms:
Li 0.000 0.500 0.000
Li 0.000 0.000 0.500
Li 0.500 0.000 0.000
Ag 0.000 0.000 0.000
F 0.500 0.500 0.500

---

Compound: FeTePb2
Source: Alexandria via LeMat-Bulk
Functional: PBE
Structure: relaxed

## Properties
V: 107 Å³/cell
space group: Amm2
E_tot: -4.521 eV/atom
energy relative to the elements, uncorrected: 0.23 eV per atom

Cell: 3.403 4.078 7.988 Å, 75.18 90.00 90.00°
Fractional coordinates of all 4 atoms:
Fe 0.500 0.539 0.797
Pb 0.000 0.973 0.930
Pb 0.500 0.327 0.220
Te 0.000 0.661 0.552

---

Compound: TbHoErZn
Source: Alexandria via LeMat-Bulk
Functional: PBE
Structure: relaxed

## Properties
V: 106 Å³/cell
space group: F-43m
formation energy from the elements: 42 meV/atom
E_tot: -3.719 eV/atom

Cell: 5.308 5.308 5.308 Å, 60.00 60.00 60.00°
Fractional coordinates of all 4 atoms:
Zn 0.000 0.000 0.000
Tb 0.750 0.750 0.750
Ho 0.250 0.250 0.250
Er 0.500 0.500 0.500

---

Compound: Rb2PaGe3O12
Source: Alexandria via LeMat-Bulk
Functional: PBE
Structure: relaxed

## Properties
V: 272 Å³/cell
space group: R-3m
E_tot: -6.263 eV/atom
energy relative to the elements, uncorrected: -1.55 eV per atom

Cell: 7.427 7.427 7.427 Å, 57.32 57.32 57.32°
Fractional coordinates of all 18 atoms:
Rb 0.616 0.616 0.616
Rb 0.384 0.384 0.384
Pa 0.000 0.000 0.000
Ge 0.500 0.000 0.000
Ge 0.000 0.500 0.000
Ge 0.000 0.000 0.500
O 0.315 0.315 0.920
O 0.923 0.923 0.351
O 0.351 0.923 0.923
O 0.920 0.315 0.315
O 0.923 0.351 0.923
O 0.315 0.920 0.315
O 0.685 0.685 0.080
O 0.077 0.077 0.649
O 0.649 0.077 0.077
O 0.080 0.685 0.685
O 0.077 0.649 0.077
O 0.685 0.080 0.685

---

Compound: Sm2ThAl
Source: Alexandria via LeMat-Bulk
Functional: PBE
Structure: relaxed

## Properties
V: 115 Å³/cell
space group: P4/mmm
formation energy from the elements: -156 meV/atom
E_tot: -5.306 eV/atom

Cell: 3.593 3.593 8.895 Å, 90.00 90.00 90.00°
Fractional coordinates of all 4 atoms:
Sm 0.000 0.000 0.780
Sm 0.000 0.000 0.220
Th 0.500 0.500 0.500
Al 0.500 0.500 0.000

---

Compound: LaYAsSe2
Source: Alexandria via LeMat-Bulk
Functional: PBE
Structure: relaxed

## Properties
V: 153 Å³/cell
space group: P4/mmm
E_tot: -5.629 eV/atom
energy relative to the elements, uncorrected: -1.03 eV per atom

Cell: 5.347 5.347 5.366 Å, 90.00 90.00 90.00°
Fractional coordinates of all 5 atoms:
Y 0.000 0.000 0.000
As 0.000 0.000 0.500
Se 0.000 0.500 0.000
Se 0.500 0.000 0.000
La 0.500 0.500 0.500

---

Compound: TiAgTeN2
Source: Alexandria via LeMat-Bulk
Functional: PBE
Structure: relaxed

## Properties
V: 90 Å³/cell
space group: P4/mmm
E_tot: -4.385 eV/atom
energy relative to the elements, uncorrected: 1.72 eV per atom

Cell: 4.092 4.092 5.359 Å, 90.00 90.00 90.00°
Fractional coordinates of all 5 atoms:
N 0.000 0.500 0.000
N 0.500 0.000 0.000
Te 0.000 0.000 0.500
Ag 0.000 0.000 0.000
Ti 0.500 0.500 0.500

---

Compound: SrScZn
Source: Alexandria via LeMat-Bulk
Functional: PBE
Structure: relaxed

## Properties
V: 88 Å³/cell
space group: P-6m2
formation energy from the elements: 104 meV/atom
E_tot: -2.992 eV/atom

Cell: 4.921 4.921 4.200 Å, 90.00 90.00 120.00°
Fractional coordinates of all 3 atoms:
Sc 0.000 0.000 0.833
Sr 0.667 0.333 0.333
Zn 0.333 0.667 0.833

---

Compound: Zn2Te
Source: Alexandria via LeMat-Bulk
Functional: PBE
Structure: relaxed

## Properties
V: 199 Å³/cell
space group: Cm
E_tot: -1.940 eV/atom
energy relative to the elements, uncorrected: -0.04 eV per atom

Cell: 6.550 4.351 7.535 Å, 90.00 112.06 90.00°
Fractional coordinates of all 6 atoms:
Zn 0.564 0.000 0.541
Zn 0.564 0.500 0.041
Zn 0.166 0.000 0.408
Zn 0.166 0.500 0.908
Te 0.001 0.000 0.687
Te 0.001 0.500 0.187

---

Compound: Tb2ErSn9
Source: Alexandria via LeMat-Bulk
Functional: PBE
Structure: relaxed

## Properties
V: 314 Å³/cell
space group: P4/mmm
formation energy from the elements: -421 meV/atom
E_tot: -4.575 eV/atom

Cell: 4.793 4.793 13.685 Å, 90.00 90.00 90.00°
Fractional coordinates of all 12 atoms:
Tb 0.000 0.000 0.333
Tb 0.000 0.000 0.667
Er 0.000 0.000 0.000
Sn 0.500 0.500 0.000
Sn 0.500 0.500 0.333
Sn 0.500 0.500 0.667
Sn 0.500 0.000 0.165
Sn 0.500 0.000 0.500
Sn 0.500 0.000 0.835
Sn 0.000 0.500 0.165
Sn 0.000 0.500 0.500
Sn 0.000 0.500 0.835

---

Compound: HoZrS3
Source: Alexandria via LeMat-Bulk
Functional: PBE
Structure: relaxed

## Properties
V: 233 Å³/cell
space group: P-1
E_tot: -6.828 eV/atom
energy relative to the elements, uncorrected: -1.73 eV per atom

Cell: 6.604 6.582 7.206 Å, 62.37 64.27 60.53°
Fractional coordinates of all 10 atoms:
Ho 0.348 0.343 0.957
Ho 0.652 0.657 0.043
Zr 0.857 0.810 0.480
Zr 0.143 0.190 0.520
S 0.769 0.420 0.763
S 0.052 0.772 0.746
S 0.447 0.062 0.729
S 0.231 0.580 0.237
S 0.948 0.228 0.254
S 0.553 0.938 0.271